DFT (PBE) results for a relaxed Cs2In3Pt2 crystal.

Values from the calculation:
- E_form (eV/atom) = -0.310
- E_tot (eV/atom) = -3.4534

Lattice parameters (Å, degrees): 13.771 4.515 8.842 90.00 126.35 90.00
Space group C2/m (No. 12)
One atom of each set of equivalent atoms:
Cs (0.141, 0.000, 0.276)
In (0.000, 0.500, 0.500)
In (0.159, 0.500, 0.939)
Pt (0.112, 0.000, 0.714)

***

DFT (PBE) results for a relaxed CsIn2Pt crystal.

Values from the calculation:
- E_form (eV/atom) = -0.239
- E_tot (eV/atom) = -3.3322

Lattice parameters (Å, degrees): 4.7010 4.7010 7.6744 90.00 90.00 120.00
Space group P3m1 (No. 156)
One atom of each set of equivalent atoms:
Cs (0.0000, 0.0000, 0.0000)
In (0.0000, 0.0000, 0.5220)
In (0.3333, 0.6667, 0.3549)
Pt (0.6667, 0.3333, 0.4248)

***

Q: Which of these has the lowest E_form?
A: Cs2In3Pt2

***

Q: Look up the E_form of the second one.
A: -0.239 eV/atom

***

Q: Number 2 is which compound?
A: CsIn2Pt